Entry from Alexandria via LeMat-Bulk: a relaxed TiCd4 crystal (GGA-PBE).

Summary:
* ΔH_f (0 K): 31.1 meV/atom
* crystal system: tetragonal
* space-group type: I4/mmm (139)
* E: -2.28 eV per atom
* energy relative to the lowest polymorph listed for this composition: 0 meV per atom

Unit cell a=11.2147 b=11.2147 c=11.2147 alpha=164.32 beta=164.32 gamma=22.24
Last column: nearest neighbours and their distance in Å.
Positions (direct):
Ti  0.0000  0.0000  0.0000  8 Cd 2.99, 4 Ti 3.06
Cd  0.1978  0.1978  0.0000  12 Cd 3.06-3.16
Cd  0.4063  0.4063  0.0000  4 Ti 2.99, 8 Cd 3.06-3.15
Cd  0.5937  0.5937  0.0000  4 Ti 2.99, 8 Cd 3.06-3.15
Cd  0.8022  0.8022  0.0000  12 Cd 3.06-3.16